Compound: LaPmPu2N4
Source: the Alexandria database
Functional: PBE-GGA
Structure: relaxed

Cell lengths 6.191, 3.550, 6.191 Å; angles 90.00, 110.00, 90.00 degrees
Sites, in units of the cell vectors:
La1 0.000 0.000 0.000
Pm1 0.500 0.500 0.000
Pu1 0.000 0.500 0.500
Pu2 0.500 0.000 0.500
N1 0.241 0.000 0.723
N2 0.273 0.500 0.281
N3 0.727 0.500 0.719
N4 0.759 0.000 0.277

=====

Compound: La4Pm3PuN8
Source: the Alexandria database
Functional: PBE-GGA
Structure: relaxed

Cell lengths 7.328, 7.328, 7.328 Å; angles 59.75, 59.75, 59.75 degrees
Sites, in units of the cell vectors:
La1 0.000 0.000 0.000
La2 0.000 0.500 0.500
La3 0.500 0.000 0.500
La4 0.500 0.500 0.000
Pm1 0.000 0.000 0.500
Pm2 0.000 0.500 0.000
Pm3 0.500 0.000 0.000
Pu1 0.500 0.500 0.500
N1 0.248 0.248 0.248
N2 0.257 0.738 0.738
N3 0.262 0.262 0.743
N4 0.262 0.743 0.262
N5 0.738 0.257 0.738
N6 0.738 0.738 0.257
N7 0.743 0.262 0.262
N8 0.752 0.752 0.752

=====

Compound: La2PmReN4
Source: the Alexandria database
Functional: PBE-GGA
Structure: relaxed

Cell lengths 6.361, 6.361, 12.391 Å; angles 90.00, 90.00, 147.64 degrees
Sites, in units of the cell vectors:
La1 0.132 0.868 0.540
La2 0.132 0.868 0.960
La3 0.868 0.132 0.040
La4 0.868 0.132 0.460
Pm1 0.376 0.624 0.750
Pm2 0.624 0.376 0.250
Re1 0.351 0.649 0.250
Re2 0.649 0.351 0.750
N1 0.077 0.923 0.750
N2 0.228 0.772 0.141
N3 0.228 0.772 0.359
N4 0.500 0.500 0.000
N5 0.500 0.500 0.500
N6 0.772 0.228 0.641
N7 0.772 0.228 0.859
N8 0.923 0.077 0.250

=====

Energy relative to the elements, uncorrected for every record listed, in sequence, given in kJ/mol of atoms: -123.3 -129.2 -82.3.
Spin magnetization for every record listed, in sequence, given in μB per cell: 0.29 4.57 0.00.